[1]
# TlFe4Co PBE optimized geometry
# Energy of formation = 0.339 eV/atom
data_TlFe4Co
_cell_length_a 4.8780
_cell_length_b 4.8780
_cell_length_c 4.8780
_cell_angle_alpha 60.00
_cell_angle_beta 60.00
_cell_angle_gamma 60.00
_space_group_name_H-M_alt 'P 1'
_space_group_IT_number 1
_space_group_name_Hall 'P 1'
loop_
_atom_site_label
_atom_site_type_symbol
_atom_site_fract_x
_atom_site_fract_y
_atom_site_fract_z
Tl1 Tl 0.2500 0.2500 0.2500
Co1 Co 0.0000 0.0000 0.0000
Fe1 Fe 0.6252 0.6252 0.1246
Fe2 Fe 0.6252 0.1246 0.6252
Fe3 Fe 0.6252 0.6252 0.6252
Fe4 Fe 0.1246 0.6252 0.6252



[2]
# TlFeCo2 PBE optimized geometry
# Energy of formation = 0.542 eV/atom
# Energy above the most stable polymorph in this dataset = 0.234 eV per atom
data_TlFeCo2
_cell_length_a 8.1880
_cell_length_b 8.1880
_cell_length_c 8.1880
_cell_angle_alpha 20.60
_cell_angle_beta 20.60
_cell_angle_gamma 20.60
_space_group_name_H-M_alt 'P 1'
_space_group_IT_number 1
_space_group_name_Hall 'P 1'
loop_
_atom_site_label
_atom_site_type_symbol
_atom_site_fract_x
_atom_site_fract_y
_atom_site_fract_z
Tl1 Tl 0.7500 0.7500 0.7500
Co1 Co 0.5106 0.5106 0.5106
Co2 Co 0.9894 0.9894 0.9894
Fe1 Fe 0.2500 0.2500 0.2500



[3]
# Tl2FeCo PBE optimized geometry
# Energy of formation = 0.714 eV/atom
# Energy above the most stable polymorph in this dataset = 0.317 eV per atom
data_Tl2FeCo
_cell_length_a 5.3210
_cell_length_b 5.3210
_cell_length_c 5.3210
_cell_angle_alpha 136.01
_cell_angle_beta 136.01
_cell_angle_gamma 63.97
_space_group_name_H-M_alt 'P 1'
_space_group_IT_number 1
_space_group_name_Hall 'P 1'
loop_
_atom_site_label
_atom_site_type_symbol
_atom_site_fract_x
_atom_site_fract_y
_atom_site_fract_z
Fe1 Fe 0.7500 0.2500 0.5000
Co1 Co 0.5000 0.5000 0.0000
Tl1 Tl 0.2500 0.7500 0.5000
Tl2 Tl 0.0000 0.0000 0.0000



[4]
# TlFeCo2 PBE optimized geometry
# Energy of formation = 0.608 eV/atom
# Energy above the most stable polymorph in this dataset = 0.301 eV per atom
data_TlFeCo2
_cell_length_a 8.2365
_cell_length_b 8.2365
_cell_length_c 8.2365
_cell_angle_alpha 20.54
_cell_angle_beta 20.54
_cell_angle_gamma 20.54
_space_group_name_H-M_alt 'P 1'
_space_group_IT_number 1
_space_group_name_Hall 'P 1'
loop_
_atom_site_label
_atom_site_type_symbol
_atom_site_fract_x
_atom_site_fract_y
_atom_site_fract_z
Tl1 Tl 0.7484 0.7484 0.7484
Co1 Co 0.2495 0.2495 0.2495
Co2 Co 0.9889 0.9889 0.9889
Fe1 Fe 0.5131 0.5131 0.5131



[5]
# TlFeCo2 PBE optimized geometry
# Energy of formation = 0.430 eV/atom
# Energy above the most stable polymorph in this dataset = 0.122 eV per atom
data_TlFeCo2
_cell_length_a 4.9454
_cell_length_b 4.9454
_cell_length_c 4.9454
_cell_angle_alpha 141.94
_cell_angle_beta 129.92
_cell_angle_gamma 64.59
_space_group_name_H-M_alt 'P 1'
_space_group_IT_number 1
_space_group_name_Hall 'P 1'
loop_
_atom_site_label
_atom_site_type_symbol
_atom_site_fract_x
_atom_site_fract_y
_atom_site_fract_z
Tl1 Tl 0.2539 0.7539 0.5000
Fe1 Fe 0.5188 0.5188 0.0000
Co1 Co 0.9886 0.9886 0.0000
Co2 Co 0.7387 0.2387 0.5000



[6]
# Tl2FeCo PBE optimized geometry
# Energy of formation = 0.660 eV/atom
# Energy above the most stable polymorph in this dataset = 0.263 eV per atom
data_Tl2FeCo
_cell_length_a 3.2051
_cell_length_b 3.2051
_cell_length_c 6.7790
_cell_angle_alpha 90.00
_cell_angle_beta 90.00
_cell_angle_gamma 90.00
_space_group_name_H-M_alt 'P 1'
_space_group_IT_number 1
_space_group_name_Hall 'P 1'
loop_
_atom_site_label
_atom_site_type_symbol
_atom_site_fract_x
_atom_site_fract_y
_atom_site_fract_z
Tl1 Tl 0.0000 0.0000 0.4897
Tl2 Tl 0.0000 0.0000 0.0103
Fe1 Fe 0.5000 0.5000 0.7500
Co1 Co 0.5000 0.5000 0.2500



[7]
# Tl2FeCo PBE optimized geometry
# Energy of formation = 0.773 eV/atom
# Energy above the most stable polymorph in this dataset = 0.376 eV per atom
data_Tl2FeCo
_cell_length_a 4.5270
_cell_length_b 4.5270
_cell_length_c 4.5270
_cell_angle_alpha 60.00
_cell_angle_beta 60.00
_cell_angle_gamma 60.00
_space_group_name_H-M_alt 'P 1'
_space_group_IT_number 1
_space_group_name_Hall 'P 1'
loop_
_atom_site_label
_atom_site_type_symbol
_atom_site_fract_x
_atom_site_fract_y
_atom_site_fract_z
Tl1 Tl 0.2500 0.2500 0.2500
Tl2 Tl 0.7500 0.7500 0.7500
Co1 Co 0.5000 0.5000 0.5000
Fe1 Fe 0.0000 0.0000 0.0000



[8]
# Tl2FeCo PBE optimized geometry
# Energy of formation = 0.723 eV/atom
# Energy above the most stable polymorph in this dataset = 0.327 eV per atom
data_Tl2FeCo
_cell_length_a 8.6335
_cell_length_b 8.6335
_cell_length_c 8.6335
_cell_angle_alpha 20.99
_cell_angle_beta 20.99
_cell_angle_gamma 20.99
_space_group_name_H-M_alt 'P 1'
_space_group_IT_number 1
_space_group_name_Hall 'P 1'
loop_
_atom_site_label
_atom_site_type_symbol
_atom_site_fract_x
_atom_site_fract_y
_atom_site_fract_z
Tl1 Tl 0.9969 0.9969 0.9969
Tl2 Tl 0.5031 0.5031 0.5031
Co1 Co 0.2500 0.2500 0.2500
Fe1 Fe 0.7500 0.7500 0.7500



[9]
# Tl2FeCo PBE optimized geometry
# Energy of formation = 0.716 eV/atom
# Energy above the most stable polymorph in this dataset = 0.319 eV per atom
data_Tl2FeCo
_cell_length_a 4.6871
_cell_length_b 4.6871
_cell_length_c 5.3200
_cell_angle_alpha 78.34
_cell_angle_beta 78.34
_cell_angle_gamma 40.14
_space_group_name_H-M_alt 'P 1'
_space_group_IT_number 1
_space_group_name_Hall 'P 1'
loop_
_atom_site_label
_atom_site_type_symbol
_atom_site_fract_x
_atom_site_fract_y
_atom_site_fract_z
Co1 Co 0.7500 0.7500 0.7500
Fe1 Fe 0.2500 0.2500 0.2500
Tl1 Tl 0.4955 0.4955 0.5053
Tl2 Tl 0.0045 0.0045 0.9947



[10]
# TlFeCo PBE optimized geometry
# Energy of formation = 0.557 eV/atom
# Energy above the most stable polymorph in this dataset = 0.129 eV per atom
data_TlFeCo
_cell_length_a 3.0645
_cell_length_b 3.0645
_cell_length_c 6.1463
_cell_angle_alpha 90.00
_cell_angle_beta 90.00
_cell_angle_gamma 120.00
_space_group_name_H-M_alt 'P 1'
_space_group_IT_number 1
_space_group_name_Hall 'P 1'
loop_
_atom_site_label
_atom_site_type_symbol
_atom_site_fract_x
_atom_site_fract_y
_atom_site_fract_z
Fe1 Fe 0.3333 0.6667 0.2883
Co1 Co 0.0000 0.0000 0.0400
Tl1 Tl 0.6667 0.3333 0.6717



[11]
# Tl2FeCo PBE optimized geometry
# Energy of formation = 0.511 eV/atom
# Energy above the most stable polymorph in this dataset = 0.114 eV per atom
data_Tl2FeCo
_cell_length_a 6.2580
_cell_length_b 6.2580
_cell_length_c 4.5150
_cell_angle_alpha 68.71
_cell_angle_beta 68.71
_cell_angle_gamma 28.01
_space_group_name_H-M_alt 'P 1'
_space_group_IT_number 1
_space_group_name_Hall 'P 1'
loop_
_atom_site_label
_atom_site_type_symbol
_atom_site_fract_x
_atom_site_fract_y
_atom_site_fract_z
Tl1 Tl 0.9997 0.9997 0.0002
Tl2 Tl 0.7817 0.7817 0.7183
Co1 Co 0.5292 0.5292 0.4707
Fe1 Fe 0.1894 0.1894 0.3107



[12]
# Tl4FeCo PBE optimized geometry
# Energy of formation = 1.141 eV/atom
data_Tl4FeCo
_cell_length_a 6.1421
_cell_length_b 6.1421
_cell_length_c 6.1421
_cell_angle_alpha 60.00
_cell_angle_beta 60.00
_cell_angle_gamma 60.00
_space_group_name_H-M_alt 'P 1'
_space_group_IT_number 1
_space_group_name_Hall 'P 1'
loop_
_atom_site_label
_atom_site_type_symbol
_atom_site_fract_x
_atom_site_fract_y
_atom_site_fract_z
Tl1 Tl 0.8748 0.3751 0.3751
Tl2 Tl 0.3751 0.8748 0.3751
Tl3 Tl 0.3751 0.3751 0.3751
Tl4 Tl 0.3751 0.3751 0.8748
Fe1 Fe 0.0000 0.0000 0.0000
Co1 Co 0.7500 0.7500 0.7500



[13]
# TlFeCo PBE optimized geometry
# Energy of formation = 0.427 eV/atom
# Energy above the most stable polymorph in this dataset = 0.000 eV per atom
data_TlFeCo
_cell_length_a 5.2176
_cell_length_b 5.2176
_cell_length_c 5.2176
_cell_angle_alpha 145.01
_cell_angle_beta 145.01
_cell_angle_gamma 50.32
_space_group_name_H-M_alt 'P 1'
_space_group_IT_number 1
_space_group_name_Hall 'P 1'
loop_
_atom_site_label
_atom_site_type_symbol
_atom_site_fract_x
_atom_site_fract_y
_atom_site_fract_z
Tl1 Tl 0.6655 0.6655 0.0000
Fe1 Fe 0.3593 0.3593 0.0000
Co1 Co 0.9752 0.9752 0.0000



[14]
# TlFeCo4 PBE optimized geometry
# Energy of formation = 0.301 eV/atom
data_TlFeCo4
_cell_length_a 4.8128
_cell_length_b 4.8128
_cell_length_c 4.8128
_cell_angle_alpha 60.00
_cell_angle_beta 60.00
_cell_angle_gamma 60.00
_space_group_name_H-M_alt 'P 1'
_space_group_IT_number 1
_space_group_name_Hall 'P 1'
loop_
_atom_site_label
_atom_site_type_symbol
_atom_site_fract_x
_atom_site_fract_y
_atom_site_fract_z
Co1 Co 0.1268 0.6244 0.6244
Co2 Co 0.6244 0.6244 0.1268
Co3 Co 0.6244 0.6244 0.6244
Co4 Co 0.6244 0.1268 0.6244
Tl1 Tl 0.0000 0.0000 0.0000
Fe1 Fe 0.2500 0.2500 0.2500



Calculated calculated total energy, -6.88, -5.72, -4.36, -5.65, -5.83, -4.42, -4.30, -4.35, -4.36, -5.42, -4.56, -3.03, -5.55, -6.24 eV/atom (same order as the records).